A plane-wave DFT calculation with SCAN was carried out for LaInCl2 at its PBEsol-relaxed geometry.

a = 9.931 Å, b = 9.931 Å, c = 9.931 Å
α = 20.74°, β = 20.74°, γ = 20.74°
Fractional positions:
1 La 0.000 0.000 0.000
2 In 0.500 0.500 0.500
3 Cl 0.264 0.264 0.264
4 Cl 0.736 0.736 0.736

Results
Calculated density in g/cm³: 5.0
Raw formation energy in eV/atom: -1.499
D(E_F) in states/eV per cell: 2.4
Polymorph energy (0 for the lowest one) in eV/f.u.: 0.07
Raw total energy in eV per atom: -24.6112


A plane-wave DFT calculation with SCAN was carried out for Li2LaInCl at its PBEsol-relaxed geometry.

a = 4.688 Å, b = 4.688 Å, c = 6.208 Å
α = 90.00°, β = 90.00°, γ = 90.00°
Fractional positions:
1 Li 0.000 0.500 0.000
2 Li 0.500 0.000 0.000
3 La 0.000 0.000 0.500
4 In 0.500 0.500 0.500
5 Cl 0.500 0.500 0.000

Results
Calculated density in g/cm³: 3.7
Raw formation energy in eV/atom: -0.493
D(E_F) in states/eV per cell: 6.1
Raw total energy in eV per atom: -18.3430


A plane-wave DFT calculation with SCAN was carried out for LaInMo2Cl at its PBEsol-relaxed geometry.

a = 4.516 Å, b = 4.516 Å, c = 5.174 Å
α = 90.00°, β = 90.00°, γ = 90.00°
Fractional positions:
1 La 0.000 0.000 0.000
2 In 0.500 0.500 0.000
3 Mo 0.000 0.500 0.500
4 Mo 0.500 0.000 0.500
5 Cl 0.000 0.000 0.500

Results
Calculated density in g/cm³: 7.6
Raw formation energy in eV/atom: 0.608
D(E_F) in states/eV per cell: 6.0
Raw total energy in eV per atom: -30.2396


A plane-wave DFT calculation with SCAN was carried out for LiInCl4 at its PBEsol-relaxed geometry.

a = 5.971 Å, b = 5.971 Å, c = 5.971 Å
α = 60.00°, β = 60.00°, γ = 60.00°
Fractional positions:
1 Li 0.000 0.000 0.000
2 In 0.750 0.750 0.750
3 Cl 0.375 0.375 0.375
4 Cl 0.375 0.375 0.875
5 Cl 0.375 0.875 0.375
6 Cl 0.875 0.375 0.375

Results
Calculated density in g/cm³: 2.9
Raw formation energy in eV/atom: -0.287
D(E_F) in states/eV per cell: 0.9
Raw total energy in eV per atom: -11.5685


A plane-wave DFT calculation with SCAN was carried out for LiIn2Cl at its PBEsol-relaxed geometry.

a = 3.675 Å, b = 4.342 Å, c = 6.457 Å
α = 90.00°, β = 90.00°, γ = 90.00°
Fractional positions:
1 Li 0.000 0.000 0.000
2 In 0.000 0.500 0.500
3 In 0.500 0.000 0.500
4 Cl 0.500 0.500 0.000

Results
Calculated density in g/cm³: 4.4
Raw formation energy in eV/atom: -0.555
D(E_F) in states/eV per cell: 1.4
Polymorph energy (0 for the lowest one) in eV/f.u.: 0.00
Raw total energy in eV per atom: -19.8405


A plane-wave DFT calculation with SCAN was carried out for Li3InCl at its PBEsol-relaxed geometry.

a = 4.625 Å, b = 4.625 Å, c = 4.625 Å
α = 90.00°, β = 90.00°, γ = 90.00°
Fractional positions:
1 Li 0.000 0.000 0.500
2 Li 0.000 0.500 0.000
3 Li 0.500 0.000 0.000
4 In 0.500 0.500 0.500
5 Cl 0.000 0.000 0.000

Results
Calculated density in g/cm³: 2.9
Raw formation energy in eV/atom: -0.746
D(E_F) in states/eV per cell: 1.7
Raw total energy in eV per atom: -10.4525


A plane-wave DFT calculation with SCAN was carried out for LiIn2Cl at its PBEsol-relaxed geometry.

a = 3.300 Å, b = 3.300 Å, c = 8.862 Å
α = 90.00°, β = 90.00°, γ = 112.08°
Fractional positions:
1 Li 0.000 0.000 0.000
2 In 0.500 0.500 0.246
3 In 0.500 0.500 0.754
4 Cl 0.000 0.000 0.500

Results
Calculated density in g/cm³: 5.1
Raw formation energy in eV/atom: -0.365
D(E_F) in states/eV per cell: 1.6
Polymorph energy (0 for the lowest one) in eV/f.u.: 0.76
Raw total energy in eV per atom: -19.6500


A plane-wave DFT calculation with SCAN was carried out for LiIn4Cl at its PBEsol-relaxed geometry.

a = 6.072 Å, b = 6.072 Å, c = 6.072 Å
α = 60.00°, β = 60.00°, γ = 60.00°
Fractional positions:
1 Li 0.000 0.000 0.000
2 In 0.375 0.375 0.375
3 In 0.375 0.375 0.875
4 In 0.375 0.875 0.375
5 In 0.875 0.375 0.375
6 Cl 0.750 0.750 0.750

Results
Calculated density in g/cm³: 5.3
Raw formation energy in eV/atom: -0.152
D(E_F) in states/eV per cell: 3.6
Raw total energy in eV per atom: -24.1372


A plane-wave DFT calculation with SCAN was carried out for LiNb3InCl9 at its PBEsol-relaxed geometry.

a = 9.194 Å, b = 9.246 Å, c = 9.252 Å
α = 119.15°, β = 105.01°, γ = 96.98°
Fractional positions:
1 Li 0.117 0.048 0.190
2 Li 0.883 0.952 0.810
3 Nb 0.356 0.296 0.978
4 Nb 0.357 0.428 0.751
5 Nb 0.367 0.656 0.110
6 Nb 0.633 0.344 0.890
7 Nb 0.643 0.572 0.249
8 Nb 0.644 0.704 0.022
9 In 0.152 0.730 0.508
10 In 0.848 0.270 0.492
11 Cl 0.163 0.172 0.677
12 Cl 0.166 0.338 0.437
13 Cl 0.168 0.033 0.942
14 Cl 0.175 0.443 0.103
15 Cl 0.175 0.599 0.833
16 Cl 0.199 0.846 0.252
17 Cl 0.487 0.076 0.845
18 Cl 0.490 0.235 0.578
19 Cl 0.499 0.345 0.269
20 Cl 0.501 0.655 0.731
21 Cl 0.510 0.765 0.422
22 Cl 0.513 0.924 0.155
23 Cl 0.801 0.154 0.748
24 Cl 0.825 0.401 0.167
25 Cl 0.825 0.557 0.897
26 Cl 0.832 0.967 0.058
27 Cl 0.834 0.662 0.563
28 Cl 0.837 0.828 0.323

Results
Calculated density in g/cm³: 3.8
Raw formation energy in eV/atom: -1.451
Raw total energy in eV per atom: -16.2342


A plane-wave DFT calculation with SCAN was carried out for MgIn2Cl at its PBEsol-relaxed geometry.

a = 3.300 Å, b = 5.095 Å, c = 5.734 Å
α = 90.00°, β = 90.00°, γ = 90.00°
Fractional positions:
1 Mg 0.000 0.000 0.000
2 In 0.500 0.500 0.249
3 In 0.500 0.500 0.751
4 Cl 0.000 0.000 0.500

Results
Calculated density in g/cm³: 5.0
Raw formation energy in eV/atom: -0.345
D(E_F) in states/eV per cell: 1.2
Polymorph energy (0 for the lowest one) in eV/f.u.: 0.63
Raw total energy in eV per atom: -20.2762


A plane-wave DFT calculation with SCAN was carried out for MgIn2Cl at its PBEsol-relaxed geometry.

a = 9.742 Å, b = 9.742 Å, c = 9.742 Å
α = 20.11°, β = 20.11°, γ = 20.11°
Fractional positions:
1 Mg 0.000 0.000 0.000
2 In 0.245 0.245 0.245
3 In 0.755 0.755 0.755
4 Cl 0.500 0.500 0.500

Results
Calculated density in g/cm³: 5.0
Raw formation energy in eV/atom: -0.313
D(E_F) in states/eV per cell: 1.0
Polymorph energy (0 for the lowest one) in eV/f.u.: 0.75
Raw total energy in eV per atom: -20.2441


A plane-wave DFT calculation with SCAN was carried out for MgInCl at its PBEsol-relaxed geometry.

a = 4.980 Å, b = 4.980 Å, c = 4.980 Å
α = 60.00°, β = 60.00°, γ = 60.00°
Fractional positions:
1 Mg 0.000 0.000 0.000
2 In 0.250 0.250 0.250
3 Cl 0.750 0.750 0.750

Results
Calculated density in g/cm³: 3.3
Raw formation energy in eV/atom: -0.215
D(E_F) in states/eV per cell: 0.7
Raw total energy in eV per atom: -15.6608


Q: What is the raw total energy in the eleventh record?
A: -20.2441 eV per atom


Copy entry 1 word for word.
A plane-wave DFT calculation with SCAN was carried out for LaInCl2 at its PBEsol-relaxed geometry.

a = 9.931 Å, b = 9.931 Å, c = 9.931 Å
α = 20.74°, β = 20.74°, γ = 20.74°
Fractional positions:
1 La 0.000 0.000 0.000
2 In 0.500 0.500 0.500
3 Cl 0.264 0.264 0.264
4 Cl 0.736 0.736 0.736

Results
Calculated density in g/cm³: 5.0
Raw formation energy in eV/atom: -1.499
D(E_F) in states/eV per cell: 2.4
Polymorph energy (0 for the lowest one) in eV/f.u.: 0.07
Raw total energy in eV per atom: -24.6112


Copy entry 12 word for word.
A plane-wave DFT calculation with SCAN was carried out for MgInCl at its PBEsol-relaxed geometry.

a = 4.980 Å, b = 4.980 Å, c = 4.980 Å
α = 60.00°, β = 60.00°, γ = 60.00°
Fractional positions:
1 Mg 0.000 0.000 0.000
2 In 0.250 0.250 0.250
3 Cl 0.750 0.750 0.750

Results
Calculated density in g/cm³: 3.3
Raw formation energy in eV/atom: -0.215
D(E_F) in states/eV per cell: 0.7
Raw total energy in eV per atom: -15.6608


Q: The highest calculated density belongs to which entry?
A: LaInMo2Cl